Record 1
{"formula": "Ac6Nd2Mg", "functional": "GGA-PBE", "state": "optimized geometry", "final_energy_ha_per_atom": -0.1425, "m_tot_mub_per_fu": 0.00, "lattice_angstrom": [[-5.485, 2.811, 2.808], [9.532, 3.117, 7.322], [8.482, 9.044, -0.662]], "species": ["Ac", "Ac", "Ac", "Ac", "Ac", "Ac", "Ac", "Ac", "Ac", "Ac", "Ac", "Ac", "Nd", "Nd", "Nd", "Nd", "Mg", "Mg"], "frac_coords": [[0.582, 0.582, 0.082], [0.082, 0.082, 0.582], [0.936, 0.154, 0.003], [0.280, 0.497, 0.346], [0.220, 0.654, 0.503], [0.918, 0.918, 0.418], [0.418, 0.418, 0.918], [0.064, 0.846, 0.997], [0.564, 0.997, 0.846], [0.780, 0.346, 0.497], [0.436, 0.003, 0.154], [0.720, 0.503, 0.654], [0.559, 0.829, 0.671], [0.441, 0.171, 0.329], [0.941, 0.329, 0.171], [0.059, 0.671, 0.829], [0.750, 0.751, 0.249], [0.250, 0.249, 0.751]]}

=====

Record 2
{"formula": "AcNdMg17", "functional": "GGA-PBE", "state": "optimized geometry", "final_energy_ha_per_atom": -0.0722, "m_tot_mub_per_fu": 0.00, "lattice_angstrom": [[-6.026, -0.397, 5.045], [-2.945, -6.875, -2.446], [3.458, -4.580, 5.384]], "species": ["Mg", "Mg", "Mg", "Mg", "Mg", "Mg", "Mg", "Mg", "Mg", "Mg", "Mg", "Mg", "Mg", "Mg", "Mg", "Mg", "Mg", "Nd", "Ac"], "frac_coords": [[0.997, 0.503, 0.997], [0.646, 0.166, 0.646], [0.002, 0.700, 0.297], [0.297, 0.002, 0.700], [0.904, 0.904, 0.904], [0.349, 0.848, 0.349], [0.700, 0.297, 0.002], [0.002, 0.297, 0.700], [0.297, 0.700, 0.002], [0.646, 0.646, 0.166], [0.166, 0.646, 0.646], [0.997, 0.997, 0.503], [0.349, 0.349, 0.848], [0.700, 0.002, 0.297], [0.503, 0.997, 0.997], [0.848, 0.349, 0.349], [0.100, 0.100, 0.100], [0.331, 0.331, 0.331], [0.666, 0.666, 0.666]]}

=====

Record 3
{"formula": "AcNd3Mg", "functional": "GGA-PBE", "state": "optimized geometry", "final_energy_ha_per_atom": -0.1439, "m_tot_mub_per_fu": 0.00, "lattice_angstrom": [[9.731, 0.128, 0.147], [-1.013, 8.692, -0.814], [-1.013, -2.000, 8.498]], "species": ["Nd", "Nd", "Nd", "Nd", "Nd", "Nd", "Nd", "Nd", "Nd", "Nd", "Nd", "Nd", "Ac", "Ac", "Ac", "Ac", "Mg", "Mg", "Mg", "Mg"], "frac_coords": [[0.083, 0.306, 0.125], [0.557, 0.735, 0.060], [0.443, 0.265, 0.940], [0.943, 0.940, 0.265], [0.417, 0.875, 0.694], [0.919, 0.333, 0.503], [0.419, 0.503, 0.333], [0.581, 0.497, 0.667], [0.057, 0.060, 0.735], [0.583, 0.125, 0.306], [0.917, 0.694, 0.875], [0.081, 0.667, 0.497], [0.765, 0.468, 0.171], [0.735, 0.829, 0.532], [0.235, 0.532, 0.829], [0.265, 0.171, 0.468], [0.250, 0.970, 0.030], [0.250, 0.764, 0.236], [0.750, 0.236, 0.764], [0.750, 0.030, 0.970]]}

=====

Record 4
{"formula": "Ac3Nd2Mg3", "functional": "GGA-PBE", "state": "optimized geometry", "final_energy_ha_per_atom": -0.1245, "m_tot_mub_per_fu": 0.00, "lattice_angstrom": [[-3.404, 0.676, -2.044], [0.534, -5.210, -2.613], [-4.831, -2.772, 11.095]], "species": ["Ac", "Ac", "Ac", "Mg", "Mg", "Mg", "Nd", "Nd"], "frac_coords": [[0.500, 0.000, 0.000], [0.375, 0.375, 0.751], [0.625, 0.625, 0.249], [0.000, 0.500, 0.000], [0.122, 0.122, 0.245], [0.878, 0.878, 0.755], [0.264, 0.764, 0.528], [0.736, 0.236, 0.472]]}

=====

Record 5
{"formula": "AcNd9Mg2", "functional": "GGA-PBE", "state": "optimized geometry", "final_energy_ha_per_atom": -0.1532, "m_tot_mub_per_fu": 0.00, "lattice_angstrom": [[-0.939, -2.939, -4.100], [4.586, -2.236, 0.553], [-6.316, -10.699, 9.115]], "species": ["Ac", "Nd", "Nd", "Nd", "Nd", "Nd", "Nd", "Nd", "Nd", "Nd", "Mg", "Mg"], "frac_coords": [[0.000, 0.000, 0.000], [0.500, 0.000, 0.824], [0.500, 0.000, 0.176], [0.500, 0.500, 0.660], [0.000, 0.500, 0.176], [0.000, 0.500, 0.500], [0.500, 0.000, 0.500], [0.500, 0.500, 0.340], [0.500, 0.500, 0.000], [0.000, 0.500, 0.824], [0.000, 0.000, 0.661], [0.000, 0.000, 0.339]]}

=====

Record 6
{"formula": "Ac5Nd2Mg", "functional": "GGA-PBE", "state": "optimized geometry", "final_energy_ha_per_atom": -0.1450, "m_tot_mub_per_fu": 0.00, "lattice_angstrom": [[-7.136, -2.494, -1.040], [5.002, -0.506, -5.739], [4.652, -3.878, 4.640]], "species": ["Ac", "Ac", "Ac", "Ac", "Ac", "Nd", "Nd", "Mg"], "frac_coords": [[0.778, 0.779, 0.501], [0.278, 0.279, 0.501], [0.278, 0.777, 0.999], [0.778, 0.277, 0.999], [0.280, 0.278, 0.002], [0.777, 0.278, 0.500], [0.275, 0.778, 0.498], [0.780, 0.778, 0.002]]}

=====

Record 7
{"formula": "Ac2NdMg2", "functional": "GGA-PBE", "state": "optimized geometry", "e_above_lowest_polymorph_ev_per_fu": 0.00, "m_tot_mub_per_fu": 0.00, "lattice_angstrom": [[-1.111, 3.237, -2.006], [-3.873, -0.821, 0.819], [-1.242, 5.597, 9.718]], "species": ["Nd", "Mg", "Mg", "Ac", "Ac"], "frac_coords": [[0.000, 0.000, 0.000], [0.500, 0.420, 0.159], [0.500, 0.580, 0.841], [0.000, 0.824, 0.352], [0.000, 0.176, 0.648]]}

=====

Record 8
{"formula": "AcNd7Mg2", "functional": "GGA-PBE", "state": "optimized geometry", "final_energy_ha_per_atom": -0.1305, "m_tot_mub_per_fu": 0.00, "lattice_angstrom": [[5.939, 0.000, 0.000], [0.000, 8.681, 0.112], [0.000, -3.729, 7.840]], "species": ["Nd", "Nd", "Nd", "Nd", "Nd", "Nd", "Nd", "Mg", "Mg", "Ac"], "frac_coords": [[0.500, 0.070, 0.311], [0.500, 0.311, 0.070], [0.500, 0.689, 0.930], [0.000, 0.684, 0.316], [0.000, 0.316, 0.684], [0.500, 0.500, 0.500], [0.500, 0.930, 0.689], [0.500, 0.289, 0.711], [0.500, 0.711, 0.289], [0.000, 0.000, 0.000]]}